First-principles (GGA-PBE) data for a relaxed PRu2W crystal, as listed in Alexandria via LeMat-Bulk.

Cell: 2.8425 3.7854 5.2624 Å, 90.00 90.00 90.00°
Atoms (fractional coordinates):
P (0.5000, 0.5000, 0.5000)
Ru (0.0000, 0.0000, 0.7456)
Ru (0.0000, 0.0000, 0.2544)
W (0.5000, 0.5000, 0.0000)

Calculated values
**Total magnetization**: 0.000 μB/f.u.
**Energy relative to the elements**: 0.040 eV per atom
**Volume**: 57 Å³/cell
**Calculated density**: 12.23 Mg/m³
**Symmetry**: Pmmm

First-principles (GGA-PBE) data for a relaxed Ac6Ge2Au crystal, as listed in Alexandria via LeMat-Bulk.

Cell: 5.3410 7.6613 9.3970 Å, 114.06 106.50 90.00°
Atoms (fractional coordinates):
Ac (0.1651, 0.4122, 0.3303)
Ac (0.8349, 0.0819, 0.6697)
Ac (0.8349, 0.5878, 0.6697)
Ac (0.5000, 0.2503, 0.0000)
Ac (0.1651, 0.9181, 0.3303)
Ac (0.5000, 0.7497, 0.0000)
Ge (0.6681, 0.6681, 0.3362)
Ge (0.3319, 0.3319, 0.6638)
Au (0.0000, 0.0000, 0.0000)

Calculated values
**Total magnetization**: 0.000 μB/f.u.
**Energy relative to the elements**: -0.393 eV per atom
**Volume**: 334 Å³/cell
**Calculated density**: 8.48 Mg/m³
**Symmetry**: Immm

no.,N(E_F) (states/eV per atom)
1,0.948
2,1.321